The following is a PBE calculation of crystalline Nd3HoHg at its relaxed geometry, from Alexandria via LeMat-Bulk.

The structure in POSCAR format:
```
Nd3HoHg
1.0
11.152 -1.814 0.000
11.152 1.814 0.000
-2.289 0.000 8.004
Nd Ho Hg
6 2 2
direct
0.013 0.013 0.247
0.175 0.175 0.453
0.380 0.380 0.957
0.620 0.620 0.043
0.825 0.825 0.547
0.987 0.987 0.753
0.264 0.264 0.177
0.736 0.736 0.823
0.416 0.416 0.386
0.584 0.584 0.614
```

Computed properties:
ΔE_f: -0.40 eV per formula unit
SG: C2/m (12)
total magnetization: 0.000 μB/atom
V: 32.39 Å³/atom
total DFT energy (no corrections): -3.92 eV/atom
energy above the most stable polymorph in this dataset: 9 meV/atom